# CaSeSBr2 PBE relaxed
data_CaSeSBr2
_chemical_formula_sum 'Ca1 Se1 S1 Br2'
_cell_length_a 5.636
_cell_length_b 5.636
_cell_length_c 5.888
_cell_angle_alpha 90.00
_cell_angle_beta 90.00
_cell_angle_gamma 90.00
_symmetry_space_group_name_H-M 'P 1'
_symmetry_Int_Tables_number 1
_symmetry_space_group_name_Hall 'P 1'
loop_
_atom_site_label
_atom_site_fract_x
_atom_site_fract_y
_atom_site_fract_z
Ca1 0.000 0.000 0.000
Se1 0.000 0.000 0.500
S1 0.500 0.500 0.500
Br1 0.000 0.500 0.000
Br2 0.500 0.000 0.000
# Raw formation energy: -81 kJ/mol of formula units
# Magnetization: 4.01 μB/cell
# Raw total energy: -13.8 eV/cell
# D(E_F): 4.8 states/eV/f.u.
# Relative energy among the computed polymorphs: 303 meV per atom